# 1
The following is a GGA-PBE calculation of an optimized crystal structure of ReTeO4, from OQMD via LeMat-Bulk.

Total moment in μB per atom: 0.00
Total DFT energy (no corrections) in eV per atom: -6.853

Unit cell a=3.205 b=6.949 c=7.024 alpha=68.70 beta=76.87 gamma=89.98
Fractional positions:
O (0.737, 0.047, 0.853)
O (0.089, 0.953, 0.147)
O (0.891, 0.682, 0.544)
O (0.592, 0.291, 0.141)
O (0.549, 0.631, 0.227)
O (0.935, 0.318, 0.456)
O (0.277, 0.368, 0.773)
O (0.234, 0.709, 0.859)
Re (0.741, 0.522, 0.846)
Re (0.085, 0.479, 0.154)
Te (0.498, 0.869, 0.330)
Te (0.328, 0.132, 0.669)

---

# 2
The following is a GGA-PBE calculation of an optimized crystal structure of Tm2ReTeO6, from OQMD via LeMat-Bulk.

Total moment in μB per atom: 0.20
Total DFT energy (no corrections) in eV per atom: -7.633

Unit cell a=5.275 b=5.335 c=10.298 alpha=90.00 beta=112.34 gamma=90.00
Fractional positions:
O (0.934, 0.276, 0.612)
O (0.169, 0.220, 0.395)
O (0.353, 0.587, 0.153)
O (0.831, 0.720, 0.105)
O (0.647, 0.087, 0.347)
O (0.934, 0.224, 0.112)
O (0.066, 0.776, 0.888)
O (0.169, 0.280, 0.895)
O (0.353, 0.913, 0.653)
O (0.831, 0.780, 0.605)
O (0.066, 0.724, 0.388)
O (0.647, 0.413, 0.847)
Te (0.500, 0.500, 0.500)
Te (0.500, 0.000, 0.000)
Tm (0.228, 0.564, 0.743)
Tm (0.228, 0.936, 0.243)
Tm (0.772, 0.436, 0.257)
Tm (0.772, 0.064, 0.757)
Re (0.000, 0.000, 0.500)
Re (0.000, 0.500, 0.000)

---

# 3
The following is a GGA-PBE calculation of an optimized crystal structure of TlReO3, from OQMD via LeMat-Bulk.

Total moment in μB per atom: 0.00
Total DFT energy (no corrections) in eV per atom: -7.174

Unit cell a=5.083 b=6.150 c=6.451 alpha=106.62 beta=101.95 gamma=94.18
Fractional positions:
O (0.561, 0.222, 0.432)
O (0.439, 0.778, 0.568)
O (0.982, 0.937, 0.672)
O (0.595, 0.704, 0.182)
O (0.018, 0.063, 0.328)
O (0.405, 0.296, 0.818)
Re (0.696, 0.944, 0.432)
Re (0.304, 0.056, 0.568)
Tl (0.200, 0.390, 0.164)
Tl (0.800, 0.610, 0.836)

---

# 4
The following is a GGA-PBE calculation of an optimized crystal structure of Tl2ReO5, from OQMD via LeMat-Bulk.

Total moment in μB per atom: 0.00
Total DFT energy (no corrections) in eV per atom: -6.120

Unit cell a=6.810 b=6.810 c=6.810 alpha=100.60 beta=100.60 gamma=129.21
Fractional positions:
Tl (0.622, 0.165, 0.788)
Tl (0.835, 0.622, 0.457)
Tl (0.378, 0.835, 0.212)
Tl (0.165, 0.378, 0.543)
O (0.368, 0.449, 0.291)
O (0.250, 0.750, 0.500)
O (0.750, 0.250, 0.500)
O (0.077, 0.368, 0.918)
O (0.632, 0.551, 0.709)
O (0.841, 0.923, 0.291)
O (0.159, 0.077, 0.709)
O (0.551, 0.841, 0.918)
O (0.449, 0.159, 0.082)
O (0.923, 0.632, 0.082)
Re (0.197, 0.197, 0.000)
Re (0.803, 0.803, 0.000)

---

# 5
The following is a GGA-PBE calculation of an optimized crystal structure of TlReO3, from OQMD via LeMat-Bulk.

Total moment in μB per atom: 0.01
Total DFT energy (no corrections) in eV per atom: -6.879

Unit cell a=6.522 b=5.401 c=9.707 alpha=90.00 beta=90.00 gamma=90.00
Fractional positions:
O (0.376, 0.549, 0.893)
O (0.778, 0.737, 0.750)
O (0.376, 0.549, 0.607)
O (0.876, 0.951, 0.393)
O (0.278, 0.763, 0.250)
O (0.876, 0.951, 0.107)
O (0.624, 0.451, 0.393)
O (0.222, 0.263, 0.250)
O (0.624, 0.451, 0.107)
O (0.124, 0.049, 0.893)
O (0.722, 0.237, 0.750)
O (0.124, 0.049, 0.607)
Re (0.458, 0.482, 0.250)
Re (0.958, 0.018, 0.750)
Re (0.042, 0.982, 0.250)
Re (0.542, 0.518, 0.750)
Tl (0.000, 0.500, 0.500)
Tl (0.500, 0.000, 0.000)
Tl (0.500, 0.000, 0.500)
Tl (0.000, 0.500, 0.000)

---

# 6
The following is a GGA-PBE calculation of an optimized crystal structure of TlReO3, from OQMD via LeMat-Bulk.

Total moment in μB per atom: 0.00
Total DFT energy (no corrections) in eV per atom: -7.004

Unit cell a=6.023 b=6.023 c=6.023 alpha=70.13 beta=70.13 gamma=70.13
Fractional positions:
O (0.003, 0.750, 0.497)
O (0.503, 0.997, 0.250)
O (0.497, 0.003, 0.750)
O (0.750, 0.497, 0.003)
O (0.997, 0.250, 0.503)
O (0.250, 0.503, 0.997)
Tl (0.500, 0.500, 0.500)
Tl (0.000, 0.000, 0.000)
Re (0.750, 0.750, 0.750)
Re (0.250, 0.250, 0.250)

---

# 7
The following is a GGA-PBE calculation of an optimized crystal structure of TlReO3, from OQMD via LeMat-Bulk.

Total moment in μB per atom: 0.38
Total DFT energy (no corrections) in eV per atom: -7.091

Unit cell a=5.428 b=5.428 c=12.681 alpha=90.00 beta=90.00 gamma=120.00
Fractional positions:
O (0.943, 0.667, 0.418)
O (0.057, 0.724, 0.082)
O (0.724, 0.057, 0.418)
O (0.724, 0.667, 0.582)
O (0.333, 0.057, 0.582)
O (0.276, 0.943, 0.918)
O (0.667, 0.943, 0.082)
O (0.333, 0.276, 0.418)
O (0.667, 0.724, 0.918)
O (0.276, 0.333, 0.082)
O (0.057, 0.333, 0.918)
O (0.943, 0.276, 0.582)
Tl (0.333, 0.667, 0.303)
Tl (0.667, 0.333, 0.803)
Tl (0.333, 0.667, 0.697)
Tl (0.667, 0.333, 0.197)
Re (0.667, 0.333, 0.500)
Re (0.333, 0.667, 0.000)
Re (0.000, 0.000, 0.000)
Re (0.000, 0.000, 0.500)

---

# 8
The following is a GGA-PBE calculation of an optimized crystal structure of Tl2Re2O5, from OQMD via LeMat-Bulk.

Offset from the most stable computed form in eV/atom: 0.689
Total moment in μB per atom: 0.40
Total DFT energy (no corrections) in eV per atom: -6.221

Unit cell a=11.260 b=3.325 c=3.325 alpha=90.00 beta=90.00 gamma=90.00
Fractional positions:
O (0.500, 0.500, 0.500)
O (0.899, 0.000, 0.500)
O (0.899, 0.500, 0.000)
O (0.101, 0.500, 0.000)
O (0.101, 0.000, 0.500)
Re (0.500, 0.000, 0.000)
Re (0.000, 0.000, 0.000)
Tl (0.265, 0.500, 0.500)
Tl (0.735, 0.500, 0.500)

---

# 9
The following is a GGA-PBE calculation of an optimized crystal structure of TlReO3, from OQMD via LeMat-Bulk.

Total moment in μB per atom: 0.11
Total DFT energy (no corrections) in eV per atom: -7.074

Unit cell a=5.502 b=5.502 c=6.738 alpha=65.90 beta=65.90 gamma=60.00
Fractional positions:
O (0.457, 0.660, 0.826)
O (0.943, 0.543, 0.174)
O (0.057, 0.457, 0.826)
O (0.340, 0.943, 0.174)
O (0.543, 0.340, 0.174)
O (0.660, 0.057, 0.826)
Re (0.665, 0.665, 0.004)
Re (0.335, 0.335, 0.996)
Tl (0.866, 0.866, 0.402)
Tl (0.134, 0.134, 0.598)

---

# 10
The following is a GGA-PBE calculation of an optimized crystal structure of TlReO3, from OQMD via LeMat-Bulk.

Total moment in μB per atom: 0.35
Total DFT energy (no corrections) in eV per atom: -7.099

Unit cell a=5.384 b=5.384 c=13.344 alpha=90.00 beta=90.00 gamma=120.00
Fractional positions:
Re (0.667, 0.333, 0.250)
Re (0.000, 0.000, 0.250)
Re (0.333, 0.667, 0.750)
Re (0.000, 0.000, 0.750)
O (0.950, 0.669, 0.328)
O (0.669, 0.720, 0.672)
O (0.280, 0.950, 0.672)
O (0.331, 0.050, 0.172)
O (0.950, 0.280, 0.172)
O (0.280, 0.331, 0.828)
O (0.331, 0.280, 0.328)
O (0.720, 0.669, 0.172)
O (0.050, 0.720, 0.828)
O (0.669, 0.950, 0.828)
O (0.720, 0.050, 0.328)
O (0.050, 0.331, 0.672)
Tl (0.333, 0.667, 0.441)
Tl (0.667, 0.333, 0.559)
Tl (0.333, 0.667, 0.059)
Tl (0.667, 0.333, 0.941)

---

# 11
The following is a GGA-PBE calculation of an optimized crystal structure of Tl2Re2O7, from OQMD via LeMat-Bulk.

Total moment in μB per atom: 0.00
Total DFT energy (no corrections) in eV per atom: -7.133

Unit cell a=6.107 b=6.107 c=6.173 alpha=95.55 beta=95.55 gamma=116.22
Fractional positions:
Re (0.256, 0.256, 0.898)
Re (0.744, 0.744, 0.102)
Tl (0.682, 0.318, 0.500)
Tl (0.318, 0.682, 0.500)
O (0.442, 0.442, 0.177)
O (0.637, 0.937, 0.239)
O (0.000, 0.000, 0.000)
O (0.063, 0.363, 0.761)
O (0.558, 0.558, 0.823)
O (0.937, 0.637, 0.239)
O (0.363, 0.063, 0.761)

---

# 12
The following is a GGA-PBE calculation of an optimized crystal structure of TlReO3, from OQMD via LeMat-Bulk.

Total moment in μB per atom: 0.00
Total DFT energy (no corrections) in eV per atom: -6.212

Unit cell a=3.401 b=3.401 c=5.675 alpha=90.00 beta=90.00 gamma=90.00
Fractional positions:
O (0.500, 0.500, 0.294)
O (0.500, 0.000, 0.621)
O (0.000, 0.500, 0.621)
Re (0.000, 0.000, 0.448)
Tl (0.500, 0.500, 0.916)

---

# 13
The following is a GGA-PBE calculation of an optimized crystal structure of TlReO3, from OQMD via LeMat-Bulk.

Total moment in μB per atom: 0.00
Total DFT energy (no corrections) in eV per atom: -7.062

Unit cell a=5.566 b=5.631 c=7.925 alpha=90.00 beta=90.00 gamma=90.00
Fractional positions:
Tl (0.000, 0.003, 0.250)
Tl (0.500, 0.497, 0.750)
Tl (0.000, 0.997, 0.750)
Tl (0.500, 0.503, 0.250)
Re (0.500, 0.000, 0.500)
Re (0.000, 0.500, 0.000)
Re (0.500, 0.000, 0.000)
Re (0.000, 0.500, 0.500)
O (0.250, 0.250, 0.500)
O (0.750, 0.750, 0.500)
O (0.000, 0.501, 0.250)
O (0.250, 0.250, 0.000)
O (0.750, 0.750, 0.000)
O (0.250, 0.750, 0.500)
O (0.500, 0.001, 0.250)
O (0.750, 0.250, 0.000)
O (0.750, 0.250, 0.500)
O (0.250, 0.750, 0.000)
O (0.000, 0.499, 0.750)
O (0.500, 0.999, 0.750)

---

# 14
The following is a GGA-PBE calculation of an optimized crystal structure of TlReO3, from OQMD via LeMat-Bulk.

Total moment in μB per atom: 0.00
Total DFT energy (no corrections) in eV per atom: -7.064

Unit cell a=3.963 b=3.963 c=3.963 alpha=90.00 beta=90.00 gamma=90.00
Fractional positions:
Re (0.500, 0.500, 0.500)
Tl (0.000, 0.000, 0.000)
O (0.000, 0.500, 0.500)
O (0.500, 0.000, 0.500)
O (0.500, 0.500, 0.000)

---

# 15
The following is a GGA-PBE calculation of an optimized crystal structure of TlReO3, from OQMD via LeMat-Bulk.

Total moment in μB per atom: 0.00
Total DFT energy (no corrections) in eV per atom: -7.064

Unit cell a=3.956 b=3.956 c=3.981 alpha=90.00 beta=90.00 gamma=90.00
Fractional positions:
O (0.500, 0.500, 0.280)
O (0.500, 0.000, 0.780)
O (0.000, 0.500, 0.780)
Re (0.500, 0.500, 0.780)
Tl (0.000, 0.000, 0.280)

---

# 16
The following is a GGA-PBE calculation of an optimized crystal structure of Tl2Re2O5, from OQMD via LeMat-Bulk.

Offset from the most stable computed form in eV/atom: 0.000
Total moment in μB per atom: 0.00
Total DFT energy (no corrections) in eV per atom: -6.911

Unit cell a=8.821 b=3.856 c=3.856 alpha=90.00 beta=90.00 gamma=90.00
Fractional positions:
Tl (0.500, 0.000, 0.000)
Tl (0.000, 0.000, 0.000)
O (0.747, 0.000, 0.500)
O (0.500, 0.500, 0.500)
O (0.253, 0.000, 0.500)
O (0.253, 0.500, 0.000)
O (0.747, 0.500, 0.000)
Re (0.263, 0.500, 0.500)
Re (0.737, 0.500, 0.500)

---

# 17
The following is a GGA-PBE calculation of an optimized crystal structure of Tl2ReO4, from OQMD via LeMat-Bulk.

Total moment in μB per atom: 0.00
Total DFT energy (no corrections) in eV per atom: -6.483

Unit cell a=7.249 b=7.249 c=7.249 alpha=120.00 beta=90.00 gamma=120.00
Fractional positions:
O (0.100, 0.800, 0.900)
O (0.650, 0.700, 0.350)
O (0.650, 0.300, 0.350)
O (0.100, 0.200, 0.300)
O (0.050, 0.700, 0.350)
O (0.700, 0.800, 0.900)
O (0.650, 0.300, 0.950)
O (0.100, 0.200, 0.900)
Tl (0.375, 0.250, 0.625)
Tl (0.375, 0.750, 0.625)
Tl (0.375, 0.750, 0.125)
Tl (0.875, 0.250, 0.625)
Re (0.750, 0.500, 0.250)
Re (0.000, 0.000, 0.000)

---

# 18
The following is a GGA-PBE calculation of an optimized crystal structure of Tl6ReO6, from OQMD via LeMat-Bulk.

Total moment in μB per atom: 0.00
Total DFT energy (no corrections) in eV per atom: -5.234

Unit cell a=6.466 b=6.466 c=6.466 alpha=94.64 beta=94.64 gamma=94.64
Fractional positions:
Tl (0.161, 0.275, 0.576)
Tl (0.725, 0.424, 0.839)
Tl (0.839, 0.725, 0.424)
Tl (0.576, 0.161, 0.275)
Tl (0.275, 0.576, 0.161)
Tl (0.424, 0.839, 0.725)
O (0.960, 0.065, 0.288)
O (0.040, 0.935, 0.712)
O (0.935, 0.712, 0.040)
O (0.288, 0.960, 0.065)
O (0.712, 0.040, 0.935)
O (0.065, 0.288, 0.960)
Re (0.000, 0.000, 0.000)

---

# 19
The following is a GGA-PBE calculation of an optimized crystal structure of TlReO3, from OQMD via LeMat-Bulk.

Total moment in μB per atom: 0.00
Total DFT energy (no corrections) in eV per atom: -7.063

Unit cell a=5.600 b=5.600 c=5.600 alpha=60.07 beta=60.07 gamma=60.07
Fractional positions:
O (0.250, 0.751, 0.749)
O (0.751, 0.749, 0.250)
O (0.750, 0.249, 0.251)
O (0.749, 0.250, 0.751)
O (0.249, 0.251, 0.750)
O (0.251, 0.750, 0.249)
Re (0.500, 0.500, 0.500)
Re (0.000, 0.000, 0.000)
Tl (0.750, 0.750, 0.750)
Tl (0.250, 0.250, 0.250)